A relaxed BaHg2IO2 crystal. Source: Alexandria, functional PBE.

POSCAR file:
```
BaHg2IO2
1.0
6.519 0.000 0.000
0.000 7.374 -0.535
0.000 -3.307 7.390
Hg Ba O I
4 2 4 2
Direct
0.250 0.195 0.388 Hg
0.750 0.419 0.315 Hg
0.250 0.581 0.685 Hg
0.750 0.805 0.612 Hg
0.750 0.864 0.082 Ba
0.250 0.136 0.918 Ba
0.997 0.183 0.189 O
0.003 0.817 0.811 O
0.497 0.817 0.811 O
0.503 0.183 0.189 O
0.250 0.755 0.296 I
0.750 0.245 0.704 I
```

## Properties
Total moment: 0.0 μB/cell
Formation energy (no corrections): -0.917 eV per atom
Symmetry: P2_1/m (11)